Material: Pm4Cd2Hg
Method: DFT, PBE
State: relaxed

Cell: 6.5466 6.5466 6.5466 Å, 109.55 109.43 109.43°
Closest atoms and distances in Å follow each position.
Sites, in units of the cell vectors:
Cd  0.5000  0.0000  0.5000  8 Pm 3.27
Pm  0.0000  0.0000  0.5000  2 Hg 3.27, 4 Cd 3.27
Cd  0.5000  0.5000  0.0000  8 Pm 3.27
Pm  0.5000  0.5000  0.5000  4 Cd 3.27, 2 Hg 3.27
Pm  0.0000  0.5000  0.0000  2 Hg 3.27, 4 Cd 3.27
Hg  0.0000  0.0000  0.0000  8 Pm 3.27
Pm  0.5000  0.0000  0.0000  4 Cd 3.27, 2 Hg 3.27

Properties
E_tot	-22.639	eV/cell
ΔE_f	-4.96	kcal/mol of atoms
excess energy over the best structure of this formula in the dataset	0	meV/atom

Material: Pm2Cd6Hg3
Method: DFT, PBE
State: relaxed

Cell: 4.5998 8.3567 8.3567 Å, 120.00 90.00 90.00°
Closest atoms and distances in Å follow each position.
Sites, in units of the cell vectors:
Hg  0.5000  0.0000  0.5872  5 Cd 2.75-3.02
Cd  0.0000  0.0000  0.7953  2 Hg 2.88, 6 Cd 2.96-3.03
Pm  0.0000  0.3333  0.6667  6 Hg 3.41, 3 Cd 3.45
Cd  0.5000  0.2580  0.0000  3 Hg 2.75-3.02, 4 Cd 3.03
Cd  0.5000  0.7420  0.7420  3 Hg 2.75-3.02, 4 Cd 3.03
Pm  0.0000  0.6667  0.3333  6 Hg 3.41, 3 Cd 3.45
Cd  0.5000  0.0000  0.2580  3 Hg 2.75-3.02, 4 Cd 3.03
Cd  0.0000  0.2047  0.2047  2 Hg 2.88, 6 Cd 2.96-3.03
Hg  0.5000  0.4128  0.4128  5 Cd 2.75-3.02
Hg  0.5000  0.5872  0.0000  5 Cd 2.75-3.02
Cd  0.0000  0.7953  0.0000  2 Hg 2.88, 6 Cd 2.96-3.03

Properties
E_tot	-17.931	eV/cell
ΔE_f	-4.26	kcal/mol of atoms

Material: Pm2Cd3Hg5
Method: DFT, PBE
State: relaxed

Cell: 6.3371 9.5351 9.5351 Å, 83.81 70.59 70.59°
Closest atoms and distances in Å follow each position.
Sites, in units of the cell vectors:
Pm  0.8744  0.3858  0.8655  4 Hg 3.35-3.47, 4 Cd 3.44-3.51
Cd  0.7500  0.0000  0.0000  6 Hg 2.90-3.05, 2 Cd 3.17
Cd  0.1306  0.2339  0.5050  5 Hg 2.71-2.87
Hg  0.5098  0.2402  0.2402  3 Cd 2.86-3.05, 4 Hg 2.97-3.17
Cd  0.3694  0.4950  0.7661  5 Hg 2.71-2.87
Hg  0.9902  0.7598  0.7598  3 Cd 2.86-3.05, 4 Hg 2.97-3.17
Hg  0.2500  0.5000  0.5000  4 Cd 2.87, 2 Hg 3.17
Pm  0.1256  0.6142  0.1345  4 Hg 3.35-3.47, 4 Cd 3.44-3.51
Cd  0.8694  0.7661  0.4950  5 Hg 2.71-2.87
Hg  0.0098  0.2402  0.2402  3 Cd 2.86-3.05, 4 Hg 2.97-3.17
Pm  0.6256  0.1345  0.6142  4 Hg 3.35-3.47, 4 Cd 3.44-3.51
Cd  0.2500  0.0000  0.0000  6 Hg 2.90-3.05, 2 Cd 3.17
Pm  0.3744  0.8655  0.3858  4 Hg 3.35-3.47, 4 Cd 3.44-3.51
Hg  0.3848  0.2675  0.9629  3 Cd 2.71-2.90, 2 Hg 2.97
Hg  0.4902  0.7598  0.7598  3 Cd 2.86-3.05, 4 Hg 2.97-3.17
Hg  0.7500  0.5000  0.5000  4 Cd 2.87, 2 Hg 3.17
Hg  0.1152  0.0371  0.7325  3 Cd 2.71-2.90, 2 Hg 2.97
Hg  0.8848  0.9629  0.2675  3 Cd 2.71-2.90, 2 Hg 2.97
Cd  0.6306  0.5050  0.2339  5 Hg 2.71-2.87
Hg  0.6152  0.7325  0.0371  3 Cd 2.71-2.90, 2 Hg 2.97

Properties
E_tot	-31.021	eV/cell
ΔE_f	-4.05	kcal/mol of atoms

Material: PmCd2Hg8
Method: DFT, PBE
State: relaxed

Cell: 4.5962 9.6867 8.1334 Å, 53.45 89.91 89.85°
Closest atoms and distances in Å follow each position.
Sites, in units of the cell vectors:
Hg  0.5000  0.2441  0.5117  2 Cd 2.95, 4 Hg 3.19, 1 Pm 3.19
Hg  0.5009  0.6729  0.0000  1 Pm 3.17, 4 Cd 3.21-3.22, 5 Hg 3.26-3.35
Hg  0.4991  0.3271  0.0000  1 Pm 3.17, 4 Cd 3.21-3.22, 5 Hg 3.26-3.35
Cd  0.0000  0.3851  0.2297  8 Hg 2.95-3.22, 1 Cd 3.00
Pm  0.5000  0.0000  0.0000  12 Hg 3.17-3.39
Hg  0.9989  0.3153  0.7242  1 Cd 3.14, 6 Hg 3.19-3.44, 2 Pm 3.39
Hg  0.0011  0.9604  0.7242  1 Cd 3.14, 6 Hg 3.19-3.44, 2 Pm 3.39
Hg  0.5000  0.7559  0.4883  2 Cd 2.95, 4 Hg 3.19, 1 Pm 3.19
Hg  0.9989  0.0396  0.2758  1 Cd 3.14, 6 Hg 3.19-3.44, 2 Pm 3.39
Hg  0.0011  0.6847  0.2758  1 Cd 3.14, 6 Hg 3.19-3.44, 2 Pm 3.39
Cd  0.0000  0.6149  0.7703  8 Hg 2.95-3.22, 1 Cd 3.00

Properties
E_tot	-10.096	eV/cell
ΔE_f	-2.31	kcal/mol of atoms
excess energy over the best structure of this formula in the dataset	25	meV/atom

Material: PmCd6Hg12
Method: DFT, PBE
State: relaxed

Cell: 7.9292 7.9292 7.9292 Å, 92.52 92.52 92.52°
Closest atoms and distances in Å follow each position.
Sites, in units of the cell vectors:
Hg  0.5327  0.7987  0.4528  4 Hg 3.04-3.31, 4 Cd 3.08-3.39
Hg  0.3761  0.1487  0.0347  2 Hg 3.04-3.18, 1 Pm 3.15, 4 Cd 3.23-3.33
Hg  0.4528  0.5327  0.7987  4 Hg 3.04-3.31, 4 Cd 3.08-3.39
Hg  0.4673  0.2013  0.5472  4 Hg 3.04-3.31, 4 Cd 3.08-3.39
Cd  0.7276  0.1326  0.2782  8 Hg 3.08-3.39, 1 Pm 3.32
Hg  0.7987  0.4528  0.5327  4 Hg 3.04-3.31, 4 Cd 3.08-3.39
Hg  0.9653  0.6239  0.8513  2 Hg 3.04-3.18, 1 Pm 3.15, 4 Cd 3.23-3.33
Cd  0.2724  0.8674  0.7218  8 Hg 3.08-3.39, 1 Pm 3.32
Cd  0.8674  0.7218  0.2724  8 Hg 3.08-3.39, 1 Pm 3.32
Cd  0.2782  0.7276  0.1326  8 Hg 3.08-3.39, 1 Pm 3.32
Hg  0.0347  0.3761  0.1487  2 Hg 3.04-3.18, 1 Pm 3.15, 4 Cd 3.23-3.33
Hg  0.6239  0.8513  0.9653  2 Hg 3.04-3.18, 1 Pm 3.15, 4 Cd 3.23-3.33
Hg  0.8513  0.9653  0.6239  2 Hg 3.04-3.18, 1 Pm 3.15, 4 Cd 3.23-3.33
Hg  0.5472  0.4673  0.2013  4 Hg 3.04-3.31, 4 Cd 3.08-3.39
Pm  0.0000  0.0000  0.0000  6 Hg 3.15, 6 Cd 3.32
Hg  0.2013  0.5472  0.4673  4 Hg 3.04-3.31, 4 Cd 3.08-3.39
Hg  0.1487  0.0347  0.3761  2 Hg 3.04-3.18, 1 Pm 3.15, 4 Cd 3.23-3.33
Cd  0.7218  0.2724  0.8674  8 Hg 3.08-3.39, 1 Pm 3.32
Cd  0.1326  0.2782  0.7276  8 Hg 3.08-3.39, 1 Pm 3.32

Properties
E_tot	-14.720	eV/cell
ΔE_f	-1.04	kcal/mol of atoms
excess energy over the best structure of this formula in the dataset	5	meV/atom

Material: PmCd4Hg3
Method: DFT, PBE
State: relaxed

Cell: 4.4647 4.6611 9.8077 Å, 103.55 103.16 90.00°
Closest atoms and distances in Å follow each position.
Sites, in units of the cell vectors:
Cd  0.3690  0.3711  0.7381  4 Cd 3.15-3.19, 6 Hg 3.23-3.30, 2 Pm 3.36-3.37
Pm  0.5000  0.0000  0.0000  8 Hg 3.23-3.27, 4 Cd 3.36-3.37
Cd  0.2540  0.7543  0.5080  4 Hg 3.11-3.30, 8 Cd 3.15-3.23
Hg  0.8710  0.8735  0.7421  8 Cd 3.11-3.30, 2 Pm 3.27, 2 Hg 3.34
Cd  0.7460  0.2457  0.4920  4 Hg 3.11-3.30, 8 Cd 3.15-3.23
Hg  0.0000  0.5000  0.0000  4 Pm 3.23, 4 Cd 3.30, 4 Hg 3.34
Cd  0.6310  0.6289  0.2619  4 Cd 3.15-3.19, 6 Hg 3.23-3.30, 2 Pm 3.36-3.37
Hg  0.1290  0.1265  0.2579  8 Cd 3.11-3.30, 2 Pm 3.27, 2 Hg 3.34

Properties
E_tot	-10.784	eV/cell
ΔE_f	-4.23	kcal/mol of atoms
excess energy over the best structure of this formula in the dataset	0	meV/atom

Material: PmCd5Hg2
Method: DFT, PBE
State: relaxed

Cell: 7.9418 7.9418 8.5586 Å, 117.64 117.64 90.00°
Closest atoms and distances in Å follow each position.
Sites, in units of the cell vectors:
Cd  0.2010  0.9844  0.6854  3 Hg 3.07-3.11, 4 Cd 3.18-3.41, 2 Pm 3.29
Cd  0.5156  0.2990  0.3146  3 Hg 3.07-3.11, 4 Cd 3.18-3.41, 2 Pm 3.29
Cd  0.5000  0.5000  0.0000  4 Hg 3.01, 2 Pm 3.23
Cd  0.0000  0.0000  0.0000  4 Hg 3.01, 2 Pm 3.23
Cd  0.7990  0.0156  0.3146  3 Hg 3.07-3.11, 4 Cd 3.18-3.41, 2 Pm 3.29
Cd  0.0156  0.5156  0.3146  3 Hg 3.07-3.11, 4 Cd 3.18-3.41, 2 Pm 3.29
Cd  0.7010  0.2010  0.6854  3 Hg 3.07-3.11, 4 Cd 3.18-3.41, 2 Pm 3.29
Pm  0.2500  0.2500  0.5000  10 Cd 3.23-3.29
Hg  0.3461  0.8461  0.0000  8 Cd 3.01-3.11
Pm  0.7500  0.7500  0.5000  10 Cd 3.23-3.29
Cd  0.2990  0.7990  0.3146  3 Hg 3.07-3.11, 4 Cd 3.18-3.41, 2 Pm 3.29
Hg  0.6539  0.1539  0.0000  8 Cd 3.01-3.11
Cd  0.9844  0.4844  0.6854  3 Hg 3.07-3.11, 4 Cd 3.18-3.41, 2 Pm 3.29
Hg  0.8461  0.6539  0.0000  8 Cd 3.01-3.11
Hg  0.1539  0.3461  0.0000  8 Cd 3.01-3.11
Cd  0.4844  0.7010  0.6854  3 Hg 3.07-3.11, 4 Cd 3.18-3.41, 2 Pm 3.29

Properties
E_tot	-20.151	eV/cell
ΔE_f	-0.42	kcal/mol of atoms

Material: Pm3Cd3Hg
Method: DFT, PBE
State: relaxed

Cell: 5.0003 3.5534 11.0984 Å, 99.21 103.02 90.00°
Closest atoms and distances in Å follow each position.
Sites, in units of the cell vectors:
Cd  0.8567  0.3567  0.7133  2 Hg 2.99, 4 Pm 3.27
Cd  0.1419  0.6419  0.2839  2 Cd 2.95, 4 Pm 3.30
Cd  0.5681  0.5681  0.1363  1 Hg 2.88, 2 Cd 2.95
Pm  0.6989  0.1989  0.3978  7 Cd 3.30-3.37, 2 Pm 3.55
Pm  0.9979  0.9979  0.9957  4 Hg 3.36, 8 Cd 3.41-3.55, 2 Pm 3.55
Pm  0.3033  0.8033  0.6065  5 Cd 3.27-3.44, 2 Hg 3.29, 2 Pm 3.55
Hg  0.4333  0.4333  0.8665  3 Cd 2.88-2.99

Properties
E_tot	-19.543	eV/cell
ΔE_f	-7.39	kcal/mol of atoms

Material: Pm6Cd2Hg
Method: DFT, PBE
State: relaxed

Cell: 5.4961 5.4961 10.3399 Å, 90.00 90.00 120.00°
Closest atoms and distances in Å follow each position.
Sites, in units of the cell vectors:
Cd  0.6667  0.3333  0.2873  8 Pm 3.18-3.37
Cd  0.3333  0.6667  0.7127  8 Pm 3.18-3.37
Pm  0.3333  0.6667  0.0205  1 Cd 3.18, 3 Pm 3.20
Pm  0.6667  0.3333  0.6103  4 Cd 3.34-3.35, 3 Hg 3.37
Pm  0.3333  0.6667  0.3897  4 Cd 3.34-3.35, 3 Hg 3.37
Pm  0.6667  0.3333  0.9795  1 Cd 3.18, 3 Pm 3.20
Pm  0.0000  0.0000  0.1778  1 Hg 3.33, 3 Cd 3.37, 4 Pm 3.57-3.68
Pm  0.0000  0.0000  0.8222  1 Hg 3.33, 3 Cd 3.37, 4 Pm 3.57-3.68
Hg  0.0000  0.0000  0.5000  8 Pm 3.33-3.37

Properties
E_tot	-32.633	eV/cell
ΔE_f	-5.12	kcal/mol of atoms
excess energy over the best structure of this formula in the dataset	0	meV/atom

Material: Pm2Cd3Hg3
Method: DFT, PBE
State: relaxed

Cell: 5.1660 5.1660 8.9477 Å, 73.22 73.22 60.00°
Closest atoms and distances in Å follow each position.
Sites, in units of the cell vectors:
Hg  0.3733  0.3733  0.8801  4 Cd 3.10-3.17, 4 Pm 3.13-3.16
Pm  0.4981  0.4981  0.5057  7 Hg 3.14-3.19, 1 Cd 3.19
Cd  0.2506  0.2506  0.2480  5 Hg 3.10-3.16, 3 Cd 3.15
Pm  0.0019  0.0019  0.9942  5 Hg 3.13-3.18, 3 Cd 3.19
Hg  0.1262  0.1262  0.6214  4 Pm 3.14-3.15, 4 Cd 3.15-3.18
Cd  0.7492  0.7492  0.7523  1 Cd 3.17, 7 Hg 3.17-3.22
Cd  0.6241  0.6241  0.1276  4 Cd 3.15-3.17, 4 Pm 3.19
Hg  0.8764  0.8764  0.3707  4 Cd 3.16-3.22, 4 Pm 3.18-3.19

Properties
E_tot	-16.206	eV/cell
ΔE_f	-8.80	kcal/mol of atoms

Material: Pm8Cd2Hg
Method: DFT, PBE
State: relaxed

Cell: 5.4870 8.7433 8.7378 Å, 119.56 108.30 90.00°
Closest atoms and distances in Å follow each position.
Sites, in units of the cell vectors:
Pm  0.5909  0.4474  0.1819  3 Cd 3.32-3.38, 1 Hg 3.38, 3 Pm 3.57-3.58
Cd  0.2283  0.6166  0.4567  8 Pm 3.19-3.40
Pm  0.0702  0.7204  0.1405  1 Cd 3.19, 5 Pm 3.31-3.57
Pm  0.4091  0.5526  0.8181  3 Cd 3.32-3.38, 1 Hg 3.38, 3 Pm 3.57-3.58
Cd  0.7717  0.3834  0.5433  8 Pm 3.19-3.40
Pm  0.6803  0.9486  0.3606  1 Hg 3.25, 1 Cd 3.28, 5 Pm 3.33-3.61
Hg  0.5000  0.0000  0.0000  8 Pm 3.25-3.38
Pm  0.1355  0.1848  0.2710  3 Cd 3.25-3.40, 2 Hg 3.38, 1 Pm 3.62
Pm  0.9298  0.2796  0.8595  1 Cd 3.19, 5 Pm 3.31-3.57
Pm  0.8645  0.8152  0.7290  3 Cd 3.25-3.40, 2 Hg 3.38, 1 Pm 3.62
Pm  0.3197  0.0514  0.6394  1 Hg 3.25, 1 Cd 3.28, 5 Pm 3.33-3.61

Properties
E_tot	-42.174	eV/cell
ΔE_f	-4.27	kcal/mol of atoms
excess energy over the best structure of this formula in the dataset	0	meV/atom

Material: Pm3CdHg4
Method: DFT, PBE
State: relaxed

Cell: 3.7076 7.0924 9.5801 Å, 111.73 101.16 90.00°
Closest atoms and distances in Å follow each position.
Sites, in units of the cell vectors:
Pm  0.0000  0.5000  0.0000  8 Hg 3.26
Hg  0.3751  0.5955  0.7503  1 Cd 2.94, 1 Hg 3.13, 5 Pm 3.13-3.26
Hg  0.6249  0.4045  0.2497  1 Cd 2.94, 1 Hg 3.13, 5 Pm 3.13-3.26
Hg  0.6249  0.8452  0.2497  1 Cd 2.94, 1 Hg 3.13, 5 Pm 3.13-3.26
Pm  0.7810  0.7810  0.5619  6 Hg 3.13-3.17
Hg  0.3751  0.1548  0.7503  1 Cd 2.94, 1 Hg 3.13, 5 Pm 3.13-3.26
Pm  0.2190  0.2190  0.4381  6 Hg 3.13-3.17
Cd  0.5000  0.0000  0.0000  4 Hg 2.94

Properties
E_tot	-18.905	eV/cell
ΔE_f	-7.29	kcal/mol of atoms
excess energy over the best structure of this formula in the dataset	120	meV/atom

Which formula does entry 8 have? Pm3Cd3Hg

Copy entry 12 word for word.
Material: Pm3CdHg4
Method: DFT, PBE
State: relaxed

Cell: 3.7076 7.0924 9.5801 Å, 111.73 101.16 90.00°
Closest atoms and distances in Å follow each position.
Sites, in units of the cell vectors:
Pm  0.0000  0.5000  0.0000  8 Hg 3.26
Hg  0.3751  0.5955  0.7503  1 Cd 2.94, 1 Hg 3.13, 5 Pm 3.13-3.26
Hg  0.6249  0.4045  0.2497  1 Cd 2.94, 1 Hg 3.13, 5 Pm 3.13-3.26
Hg  0.6249  0.8452  0.2497  1 Cd 2.94, 1 Hg 3.13, 5 Pm 3.13-3.26
Pm  0.7810  0.7810  0.5619  6 Hg 3.13-3.17
Hg  0.3751  0.1548  0.7503  1 Cd 2.94, 1 Hg 3.13, 5 Pm 3.13-3.26
Pm  0.2190  0.2190  0.4381  6 Hg 3.13-3.17
Cd  0.5000  0.0000  0.0000  4 Hg 2.94

Properties
E_tot	-18.905	eV/cell
ΔE_f	-7.29	kcal/mol of atoms
excess energy over the best structure of this formula in the dataset	120	meV/atom

Please write out number 2 again, unchanged.
Material: Pm2Cd6Hg3
Method: DFT, PBE
State: relaxed

Cell: 4.5998 8.3567 8.3567 Å, 120.00 90.00 90.00°
Closest atoms and distances in Å follow each position.
Sites, in units of the cell vectors:
Hg  0.5000  0.0000  0.5872  5 Cd 2.75-3.02
Cd  0.0000  0.0000  0.7953  2 Hg 2.88, 6 Cd 2.96-3.03
Pm  0.0000  0.3333  0.6667  6 Hg 3.41, 3 Cd 3.45
Cd  0.5000  0.2580  0.0000  3 Hg 2.75-3.02, 4 Cd 3.03
Cd  0.5000  0.7420  0.7420  3 Hg 2.75-3.02, 4 Cd 3.03
Pm  0.0000  0.6667  0.3333  6 Hg 3.41, 3 Cd 3.45
Cd  0.5000  0.0000  0.2580  3 Hg 2.75-3.02, 4 Cd 3.03
Cd  0.0000  0.2047  0.2047  2 Hg 2.88, 6 Cd 2.96-3.03
Hg  0.5000  0.4128  0.4128  5 Cd 2.75-3.02
Hg  0.5000  0.5872  0.0000  5 Cd 2.75-3.02
Cd  0.0000  0.7953  0.0000  2 Hg 2.88, 6 Cd 2.96-3.03

Properties
E_tot	-17.931	eV/cell
ΔE_f	-4.26	kcal/mol of atoms